Record 1
VASP calculation (SCAN) on KReSe2 at its PBEsol-relaxed geometry.

- energy above the most stable polymorph in this dataset (eV per atom) = 0.000
- uncorrected energy (eV/cell) = -241.4
- formation energy without anion corrections (eV per atom) = -0.279
- magnetic moment (Bohr magnetons per cell) = 0.00

The structure in POSCAR format:
```
KReSe2
1.0
6.538 0.044 -0.073
-2.325 6.110 0.073
2.325 2.927 5.364
Se Re K
4 2 2
Cartesian
3.425 3.521 3.343
1.950 6.356 0.698
6.694 6.716 5.216
1.007 1.570 1.471
3.269 2.281 1.323
0.000 0.000 0.000
3.269 6.800 4.041
0.000 4.519 2.719
```

Record 2
VASP calculation (SCAN) on CdAs4Os at its PBEsol-relaxed geometry.

- formation energy from the elements (eV per atom) = 1.037
- uncorrected energy (eV/cell) = -176.8
- magnetic moment (Bohr magnetons per cell) = 0.01

The structure in POSCAR format:
```
CdAs4Os
1.0
-4.528 -0.522 -2.855
-0.565 -4.114 -3.417
-3.444 -3.975 1.123
Os As Cd
1 4 1
Cartesian
0.000 0.000 0.000
-3.202 -3.229 -1.931
-5.465 -3.490 -3.358
-3.484 -5.286 -3.639
-4.923 -5.216 -1.369
-6.403 -6.458 -3.861
```

Record 3
VASP calculation (SCAN) on ScRe2Br at its PBEsol-relaxed geometry.

- energy above the most stable polymorph in this dataset (eV per atom) = 0.000
- uncorrected energy (eV/cell) = -174.7
- formation energy without anion corrections (eV per atom) = 0.305
- magnetic moment (Bohr magnetons per cell) = 0.00

The structure in POSCAR format:
```
ScRe2Br
1.0
-0.218 -3.107 -1.188
3.145 0.150 3.708
-4.777 -0.434 2.012
Br Re Sc
1 2 1
Cartesian
-1.492 -1.088 3.120
0.141 -2.150 0.919
2.564 -2.961 2.597
-2.633 -1.921 0.829
```

Record 4
VASP calculation (SCAN) on CrHgSb2I at its PBEsol-relaxed geometry.

- uncorrected energy (eV/cell) = -193.3
- formation energy without anion corrections (eV per atom) = 0.911
- magnetic moment (Bohr magnetons per cell) = 3.49

The structure in POSCAR format:
```
CrHgSb2I
1.0
-0.575 5.292 1.000
-1.890 0.744 -5.021
-5.482 -0.959 1.922
I Sb Hg Cr
1 2 1 1
Cartesian
-2.741 -0.480 0.961
-0.288 2.646 0.500
-0.945 0.372 -2.510
0.000 0.000 0.000
-3.974 2.538 -1.050
```

Record 5
VASP calculation (SCAN) on SrMg2TaHg at its PBEsol-relaxed geometry.

- formation energy from the elements (eV per atom) = 0.526
- uncorrected energy (eV/cell) = -164.3
- magnetic moment (Bohr magnetons per cell) = 1.25

The structure in POSCAR format:
```
SrMg2TaHg
1.0
-3.245 0.038 -3.969
-3.658 -2.017 2.971
-1.616 4.947 1.369
Mg Ta Sr Hg
2 1 1 1
Cartesian
-1.829 -1.009 1.486
-1.622 0.019 -1.984
-0.808 2.474 0.684
-4.260 1.484 0.186
0.000 0.000 0.000
```

Record 6
VASP calculation (SCAN) on Ti2ReRhF at its PBEsol-relaxed geometry.

- uncorrected energy (eV/cell) = -141.8
- formation energy without anion corrections (eV per atom) = -0.261
- magnetic moment (Bohr magnetons per cell) = 0.00

The structure in POSCAR format:
```
Ti2ReRhF
1.0
-0.862 3.160 2.345
2.305 -1.585 2.984
3.263 1.980 -1.469
Ti Re Rh F
2 1 1 1
Cartesian
1.631 0.990 -0.734
1.152 -0.792 1.492
-0.431 1.580 1.172
2.353 1.778 1.930
0.000 0.000 0.000
```

Record 7
VASP calculation (SCAN) on Sm2MgSi2 at its PBEsol-relaxed geometry.

- uncorrected energy (eV/cell) = -235.2
- formation energy without anion corrections (eV per atom) = -0.738
- magnetic moment (Bohr magnetons per cell) = 0.00

The structure in POSCAR format:
```
Sm2MgSi2
1.0
4.236 0.000 0.000
0.000 7.246 0.000
0.000 0.000 7.246
Si Sm Mg
4 4 2
Cartesian
0.000 2.779 0.844
0.000 0.844 4.467
0.000 4.467 6.402
0.000 6.402 2.779
2.118 5.947 4.921
2.118 2.325 5.947
2.118 4.921 1.298
2.118 1.298 2.325
0.000 3.623 3.623
0.000 0.000 0.000
```

Record 8
VASP calculation (SCAN) on Li2TePb at its PBEsol-relaxed geometry.

- energy above the most stable polymorph in this dataset (eV per atom) = 0.074
- uncorrected energy (eV/cell) = -119.9
- formation energy without anion corrections (eV per atom) = -0.524
- magnetic moment (Bohr magnetons per cell) = 0.00

The structure in POSCAR format:
```
Li2TePb
1.0
-3.791 0.653 -0.888
-0.977 -3.748 1.417
1.559 3.691 4.835
Li Te Pb
2 1 1
Cartesian
-0.081 0.210 0.499
-0.901 -0.802 3.259
-2.269 1.297 1.866
-0.783 2.034 4.840
```

Record 9
VASP calculation (SCAN) on Sc2CuNi2 at its PBEsol-relaxed geometry.

- formation energy from the elements (eV per atom) = -0.387
- uncorrected energy (eV/cell) = -155.9
- magnetic moment (Bohr magnetons per cell) = 0.00

The structure in POSCAR format:
```
Sc2CuNi2
1.0
-1.316 3.038 0.946
-6.024 -2.073 -1.721
-0.949 -2.313 6.108
Sc Cu Ni
4 2 4
Cartesian
-2.786 0.441 0.976
-5.503 -1.789 4.356
-5.942 -0.946 1.042
-2.347 -0.401 4.291
0.000 0.000 0.000
-3.487 -2.193 2.193
-1.127 -1.126 2.048
-5.847 -3.260 2.339
-3.908 -1.600 -0.297
-3.065 -2.786 4.683
```

Record 10
VASP calculation (SCAN) on TiGa3Br at its PBEsol-relaxed geometry.

- uncorrected energy (eV/cell) = -82.5
- formation energy without anion corrections (eV per atom) = 0.410
- magnetic moment (Bohr magnetons per cell) = 3.92

The structure in POSCAR format:
```
TiGa3Br
1.0
-1.618 0.357 4.831
4.779 -0.715 1.654
0.792 5.044 -0.107
Ga Br Ti
3 1 1
Cartesian
-0.809 0.178 2.415
2.389 -0.358 0.827
0.396 2.522 -0.054
1.976 2.343 3.189
0.000 0.000 0.000
```

Record 11
VASP calculation (SCAN) on Si4SbPt at its PBEsol-relaxed geometry.

- uncorrected energy (eV/cell) = -143.2
- formation energy without anion corrections (eV per atom) = 0.721
- magnetic moment (Bohr magnetons per cell) = 0.00

The structure in POSCAR format:
```
Si4SbPt
1.0
-4.037 -3.219 0.412
-0.190 -3.433 3.873
-3.421 0.615 3.840
Sb Pt Si
1 1 4
Cartesian
0.000 0.000 0.000
-5.736 -4.528 6.095
-4.576 -1.960 4.965
-4.883 -3.870 3.256
-2.871 -2.266 3.050
-2.966 -3.977 4.981
```

Record 12
VASP calculation (SCAN) on ZnOsW2 at its PBEsol-relaxed geometry.

- formation energy from the elements (eV per atom) = 0.173
- uncorrected energy (eV/cell) = -224.1
- magnetic moment (Bohr magnetons per cell) = 0.00

The structure in POSCAR format:
```
ZnOsW2
1.0
2.774 0.000 0.022
0.000 4.407 0.000
-0.332 0.000 4.789
W Os Zn
2 1 1
Cartesian
2.220 0.000 4.636
2.229 2.204 1.412
0.769 2.204 3.748
0.887 0.000 2.230
```

Record 13
VASP calculation (SCAN) on Mg4TaCu at its PBEsol-relaxed geometry.

- formation energy from the elements (eV per atom) = 0.700
- uncorrected energy (eV/cell) = -97.5
- magnetic moment (Bohr magnetons per cell) = 2.47

The structure in POSCAR format:
```
Mg4TaCu
1.0
5.438 0.000 0.000
2.719 4.710 0.000
2.719 1.570 4.440
Cu Mg Ta
1 4 1
Cartesian
0.000 0.000 0.000
5.438 1.578 2.772
4.086 3.920 2.772
6.790 3.920 2.772
5.438 3.140 0.564
2.719 1.570 1.110
```

Record 14
VASP calculation (SCAN) on CoNi at its PBEsol-relaxed geometry.

- formation energy from the elements (eV per atom) = 0.019
- uncorrected energy (eV/cell) = -33.4
- magnetic moment (Bohr magnetons per cell) = 2.57

The structure in POSCAR format:
```
CoNi
1.0
-0.056 -2.428 -0.354
0.830 0.912 2.122
-3.683 -0.133 1.498
Co Ni
1 1
Cartesian
0.000 0.000 0.000
-1.603 -1.381 1.220
```

Record 15
VASP calculation (SCAN) on SrMn2Nb2 at its PBEsol-relaxed geometry.

- formation energy from the elements (eV per atom) = 0.654
- uncorrected energy (eV/cell) = -121.8
- magnetic moment (Bohr magnetons per cell) = 0.01

The structure in POSCAR format:
```
SrMn2Nb2
1.0
4.075 0.000 0.000
0.000 4.075 0.000
-2.038 -2.038 5.840
Mn Nb Sr
2 2 1
Cartesian
2.038 0.000 2.920
0.000 2.038 2.920
2.038 2.038 1.624
0.000 0.000 4.216
0.000 0.000 0.000
```

Record 16
VASP calculation (SCAN) on Ba2Nd2Ti2Cu2O11 at its PBEsol-relaxed geometry.

- uncorrected energy (eV/cell) = -352.9
- formation energy without anion corrections (eV per atom) = -2.928
- magnetic moment (Bohr magnetons per cell) = 0.00

The structure in POSCAR format:
```
Ba2Nd2Ti2Cu2O11
1.0
-2.830 -0.819 -2.539
2.665 -1.044 -2.633
-0.513 -14.776 5.338
O Ti Ba Cu Nd
11 2 2 2 2
Cartesian
-0.131 -3.778 1.365
1.134 -6.239 0.749
-1.464 -1.833 -0.755
1.018 -9.581 1.956
0.869 -13.874 3.507
-0.382 -10.998 3.973
-1.729 -9.469 2.003
-0.257 -7.388 2.669
-1.879 -13.762 3.554
-1.613 -6.127 0.796
1.283 -1.946 -0.802
-0.322 -9.260 3.345
-0.192 -5.517 1.993
-0.476 -12.267 1.509
-0.202 -4.372 -1.343
-0.055 -1.573 0.568
-0.459 -13.203 4.770
-0.082 -0.931 -2.586
-0.339 -8.320 0.083
```

Record 17
VASP calculation (SCAN) on Mg2ZrSe at its PBEsol-relaxed geometry.

- uncorrected energy (eV/cell) = -61.8
- formation energy without anion corrections (eV per atom) = -0.277
- magnetic moment (Bohr magnetons per cell) = 0.00

The structure in POSCAR format:
```
Mg2ZrSe
1.0
3.353 0.000 0.000
1.676 2.904 0.000
1.676 0.968 8.935
Zr Se Mg
1 1 2
Cartesian
0.000 0.000 0.000
3.353 1.936 4.468
5.029 2.904 6.301
1.676 0.968 2.634
```

Record 18
VASP calculation (SCAN) on Y2Pt2Pb at its PBEsol-relaxed geometry.

- formation energy from the elements (eV per atom) = -1.009
- uncorrected energy (eV/cell) = -276.9
- magnetic moment (Bohr magnetons per cell) = 0.00

The structure in POSCAR format:
```
Y2Pt2Pb
1.0
-2.305 1.993 -4.376
3.563 -4.336 -0.603
-2.039 -4.800 -1.112
Pt Y Pb
2 2 1
Cartesian
-1.163 -1.680 -3.401
0.382 -5.463 -2.690
0.696 -2.870 -1.673
-1.477 -4.273 -4.417
0.000 0.000 0.000
```

Record 19
VASP calculation (SCAN) on Ni2BiBP2O10 at its PBEsol-relaxed geometry.

- uncorrected energy (eV/cell) = -469.8
- formation energy without anion corrections (eV per atom) = -2.090
- magnetic moment (Bohr magnetons per cell) = 7.84

The structure in POSCAR format:
```
Ni2BiBP2O10
1.0
-3.410 -0.124 3.670
5.579 -1.130 2.680
1.413 10.972 1.684
O P Bi Ni B
20 4 2 4 2
Cartesian
4.777 0.625 2.640
2.187 4.526 1.856
3.685 7.171 5.955
1.061 3.481 4.302
2.520 6.238 3.732
-1.927 2.493 3.965
-0.104 2.548 2.079
0.201 5.807 2.879
0.766 10.200 3.554
2.872 8.977 4.152
5.508 7.226 4.068
-1.196 9.094 5.394
1.949 9.498 6.838
1.632 0.221 1.195
5.076 2.948 2.996
0.709 0.742 3.881
-1.495 6.771 5.037
1.395 5.193 6.178
3.380 3.912 5.154
2.815 -0.481 4.480
1.692 5.835 2.478
1.889 3.883 5.555
2.219 9.923 3.106
1.363 -0.205 4.928
1.578 7.511 5.506
2.003 2.207 2.527
4.329 5.674 4.543
4.733 8.811 5.025
-1.152 0.908 3.009
-0.748 4.045 3.490
-2.046 8.097 4.731
5.627 1.622 3.302
```

Record 20
VASP calculation (SCAN) on ZrAl2Cu2 at its PBEsol-relaxed geometry.

- energy above the most stable polymorph in this dataset (eV per atom) = 0.085
- formation energy from the elements (eV per atom) = -0.358
- uncorrected energy (eV/cell) = -78.4
- magnetic moment (Bohr magnetons per cell) = 0.00

The structure in POSCAR format:
```
ZrAl2Cu2
1.0
-1.619 2.879 1.900
0.763 -1.748 3.298
5.114 1.917 -2.367
Al Cu Zr
2 2 1
Cartesian
0.648 1.136 2.652
3.609 1.912 0.179
2.724 0.367 1.765
1.533 2.680 1.066
0.000 0.000 0.000
```